[1]
{"formula": "TiAsC2", "functional": "GGA-PBE", "state": "relaxed", "lattice": [[-0.509, 2.994, 3.829], [-0.165, -3.858, 2.995], [3.951, -0.271, 3.856]], "species": ["C", "As", "As", "C", "Ti", "Ti", "C", "C"], "fractional_positions": [[0.375, 0.355, 0.750], [0.750, 0.250, 0.500], [0.000, 0.000, 0.000], [0.105, 0.625, 0.250], [0.250, 0.750, 0.500], [0.500, 0.500, 0.000], [0.645, 0.125, 0.250], [0.875, 0.895, 0.750]], "space_group": "No. 122", "vol_a3_per_cell": 103.04, "e_form_ev_per_atom": 0.531, "dos_at_fermi_per_ev_atom": 0.735}

---

[2]
{"formula": "CdSiS2", "functional": "GGA-PBE", "state": "relaxed", "lattice": [[-4.331, 6.203, 0.913], [-3.304, 5.175, 4.513], [-0.849, 7.214, 2.301]], "species": ["Si", "S", "S", "Cd"], "fractional_positions": [[0.000, 0.000, 0.000], [0.099, 0.099, 0.099], [0.901, 0.901, 0.901], [0.500, 0.500, 0.500]], "space_group": "No. 166", "vol_a3_per_cell": 95.09, "e_form_raw_ev_per_fu": 0.54, "dos_at_fermi_per_ev_atom": 0.504}

---

[3]
{"formula": "V5CN", "functional": "GGA-PBE", "state": "relaxed", "lattice": [[-2.396, 4.068, -1.429], [-3.228, 0.113, 3.728], [0.538, 6.530, 5.095]], "species": ["V", "V", "C", "V", "N", "V", "N", "V", "V", "V", "V", "C", "V", "V"], "fractional_positions": [[0.987, 0.013, 0.250], [0.372, 0.792, 0.974], [0.306, 0.694, 0.250], [0.767, 0.616, 0.141], [0.000, 0.000, 0.000], [0.233, 0.384, 0.859], [0.000, 0.000, 0.500], [0.208, 0.628, 0.526], [0.384, 0.233, 0.359], [0.013, 0.987, 0.750], [0.792, 0.372, 0.474], [0.694, 0.306, 0.750], [0.616, 0.767, 0.641], [0.628, 0.208, 0.026]], "space_group": "No. 15", "vol_a3_per_cell": 162.23, "e_form_raw_ev_per_fu": -2.09, "dos_at_fermi_per_ev_atom": 0.760}

---

[4]
{"formula": "SnHgPb2Se5", "functional": "GGA-PBE", "state": "relaxed", "lattice": [[-1.341, -3.855, -0.356], [5.484, -0.440, 7.686], [-10.626, 2.981, 7.753]], "species": ["Se", "Se", "Se", "Pb", "Se", "Pb", "Se", "Pb", "Hg", "Se", "Sn", "Se", "Pb", "Se", "Se", "Se", "Sn", "Hg"], "fractional_positions": [[0.371, 0.743, 0.000], [0.290, 0.580, 0.391], [0.505, 0.011, 0.273], [0.121, 0.243, 0.295], [0.264, 0.528, 0.671], [0.102, 0.204, 0.653], [0.710, 0.420, 0.891], [0.898, 0.796, 0.153], [0.445, 0.890, 0.445], [0.736, 0.472, 0.171], [0.775, 0.550, 0.526], [0.495, 0.989, 0.773], [0.879, 0.757, 0.795], [0.629, 0.257, 0.500], [0.078, 0.156, 0.070], [0.922, 0.844, 0.570], [0.225, 0.450, 0.026], [0.555, 0.110, 0.945]], "space_group": "No. 36", "vol_a3_per_cell": 509.86, "e_form_raw_ev_per_fu": -3.22, "dos_at_fermi_per_ev_atom": 0.051}

---

[5]
{"formula": "CrTcAu", "functional": "GGA-PBE", "state": "relaxed", "lattice": [[2.833, 0.000, 0.000], [-1.416, 2.453, 0.000], [0.000, 0.000, 6.627]], "species": ["Cr", "Au", "Tc"], "fractional_positions": [[0.667, 0.333, 0.356], [0.000, 0.000, 0.010], [0.333, 0.667, 0.634]], "space_group": "No. 156", "vol_a3_per_cell": 46.06, "e_form_ev_per_atom": 0.302, "dos_at_fermi_per_ev_atom": 0.816}

---

[6]
{"formula": "Dy4Sb3H2", "functional": "GGA-PBE", "state": "relaxed", "lattice": [[7.313, 0.284, 0.203], [0.858, 7.745, -0.472], [0.858, 2.049, 7.484]], "species": ["H", "Dy", "Sb", "Dy", "Dy", "Dy", "H", "Sb", "Sb", "Dy", "H", "Dy", "Dy", "Dy", "Sb", "H", "Sb", "Sb"], "fractional_positions": [[0.066, 0.567, 0.830], [0.011, 0.713, 0.074], [0.750, 0.380, 0.620], [0.386, 0.605, 0.731], [0.614, 0.395, 0.269], [0.489, 0.926, 0.287], [0.566, 0.830, 0.567], [0.250, 0.620, 0.380], [0.125, 0.970, 0.731], [0.886, 0.731, 0.605], [0.934, 0.433, 0.170], [0.989, 0.287, 0.926], [0.114, 0.269, 0.395], [0.511, 0.074, 0.713], [0.375, 0.269, 0.030], [0.434, 0.170, 0.433], [0.875, 0.030, 0.269], [0.625, 0.731, 0.970]], "space_group": "No. 15", "vol_a3_per_cell": 427.97, "dft_energy_ev_per_cell": -90.3, "dos_at_fermi_per_ev_atom": 0.229}

---

[7]
{"formula": "TbPm2Nd12", "functional": "GGA-PBE", "state": "relaxed", "lattice": [[-4.761, -2.274, 4.411], [2.307, -2.553, 5.955], [-1.356, 22.903, 10.345]], "species": ["Nd", "Nd", "Nd", "Pm", "Nd", "Nd", "Nd", "Nd", "Nd", "Nd", "Nd", "Tb", "Nd", "Nd", "Nd", "Pm", "Nd", "Nd", "Pm", "Nd", "Nd", "Pm", "Nd", "Nd", "Nd", "Tb", "Nd", "Nd", "Nd", "Nd"], "fractional_positions": [[0.252, 0.752, 0.926], [0.229, 0.271, 0.417], [0.252, 0.248, 0.128], [0.500, 0.000, 0.733], [0.500, 0.500, 0.801], [0.500, 0.500, 0.326], [0.748, 0.248, 0.926], [0.752, 0.252, 0.074], [0.248, 0.748, 0.074], [0.752, 0.748, 0.872], [0.225, 0.725, 0.560], [0.500, 0.000, 0.001], [0.748, 0.752, 0.128], [0.000, 0.000, 0.199], [0.725, 0.225, 0.440], [0.000, 0.500, 0.267], [0.271, 0.229, 0.583], [0.000, 0.000, 0.801], [0.000, 0.500, 0.727], [0.248, 0.252, 0.872], [0.775, 0.275, 0.560], [0.500, 0.000, 0.273], [0.500, 0.500, 0.199], [0.771, 0.729, 0.417], [0.275, 0.775, 0.440], [0.000, 0.500, 0.999], [0.000, 0.000, 0.674], [0.000, 0.000, 0.326], [0.500, 0.500, 0.674], [0.729, 0.771, 0.583]], "space_group": "No. 67", "vol_a3_per_cell": 1065.40, "e_form_ev_per_atom": 0.150, "dos_at_fermi_per_ev_atom": 1.449}

---

[8]
{"formula": "NbRe2TcH", "functional": "GGA-PBE", "state": "relaxed", "lattice": [[4.016, 0.000, 0.000], [0.000, 4.016, 0.000], [0.000, 0.000, 4.012]], "species": ["Nb", "Re", "H", "Re", "Tc"], "fractional_positions": [[0.500, 0.500, 0.500], [0.000, 0.500, 0.000], [0.000, 0.000, 0.000], [0.500, 0.000, 0.000], [0.000, 0.000, 0.500]], "space_group": "No. 123", "vol_a3_per_cell": 64.71, "dft_energy_ev_per_cell": -48.3, "dos_at_fermi_per_ev_atom": 0.789}

---

[9]
{"formula": "Sc2BrCl", "functional": "GGA-PBE", "state": "relaxed", "lattice": [[-2.044, 0.337, -3.891], [-1.052, -3.326, 0.265], [-4.762, 2.070, 2.680]], "species": ["Sc", "Br", "Sc", "Cl"], "fractional_positions": [[0.000, 0.515, 0.511], [0.500, 0.250, 0.250], [0.000, 0.985, 0.989], [0.500, 0.750, 0.750]], "space_group": "No. 10", "vol_a3_per_cell": 89.99, "e_form_raw_ev_per_fu": -3.45, "dos_at_fermi_per_ev_atom": 0.841}

---

[10]
{"formula": "CoSbBr2", "functional": "GGA-PBE", "state": "relaxed", "lattice": [[-4.463, 2.080, -0.612], [-0.570, -3.926, 2.980], [3.165, 3.252, 2.008]], "species": ["Co", "Br", "Br", "Sb"], "fractional_positions": [[0.500, 0.500, 0.000], [0.250, 0.750, 0.500], [0.000, 0.000, 0.000], [0.750, 0.250, 0.500]], "space_group": "No. 119", "vol_a3_per_cell": 93.97, "e_form_raw_ev_per_fu": 2.54, "dos_at_fermi_per_ev_atom": 0.933}

---

[11]
{"formula": "CsK5Bi2", "functional": "GGA-PBE", "state": "relaxed", "lattice": [[6.463, 0.000, -1.822], [-0.514, 6.443, -1.822], [0.180, 0.195, 13.014]], "species": ["Bi", "K", "K", "Bi", "K", "K", "K", "Cs"], "fractional_positions": [[0.139, 0.139, 0.277], [0.833, 0.333, 0.665], [0.667, 0.167, 0.335], [0.861, 0.861, 0.723], [0.167, 0.667, 0.335], [0.333, 0.833, 0.665], [0.000, 0.000, 0.000], [0.500, 0.500, 0.000]], "space_group": "No. 139", "vol_a3_per_cell": 546.45, "e_form_ev_per_atom": -0.167, "dos_at_fermi_per_ev_atom": 0.909}

---

[12]
{"formula": "Tb9Y11Th4", "functional": "GGA-PBE", "state": "relaxed", "lattice": [[3.716, 0.000, 0.000], [0.000, 14.001, -5.938], [0.000, 0.042, 15.208]], "species": ["Th", "Tb", "Y", "Y", "Th", "Y", "Tb", "Y", "Tb", "Tb", "Tb", "Y", "Tb", "Y", "Tb", "Th", "Tb", "Y", "Y", "Y", "Y", "Tb", "Th", "Y"], "fractional_positions": [[0.500, 0.245, 0.445], [0.500, 0.163, 0.634], [0.000, 0.363, 0.637], [0.000, 0.000, 0.000], [0.500, 0.445, 0.245], [0.000, 0.637, 0.363], [0.500, 0.634, 0.163], [0.000, 0.954, 0.592], [0.500, 0.212, 0.065], [0.500, 0.500, 0.500], [0.500, 0.065, 0.212], [0.000, 0.717, 0.717], [0.500, 0.788, 0.935], [0.000, 0.408, 0.046], [0.500, 0.366, 0.837], [0.500, 0.555, 0.755], [0.500, 0.935, 0.788], [0.000, 0.592, 0.954], [0.000, 0.046, 0.408], [0.000, 0.159, 0.841], [0.000, 0.841, 0.159], [0.500, 0.837, 0.366], [0.500, 0.755, 0.555], [0.000, 0.283, 0.283]], "space_group": "No. 65", "vol_a3_per_cell": 792.18, "e_form_ev_per_atom": 0.108, "dos_at_fermi_per_ev_atom": 1.503}